# 1
# TlZnAs | the Alexandria database | PBEsol | optimized geometry
data_TlZnAs
_chemical_formula_sum 'Tl1 Zn1 As1'
_cell_length_a 4.1522
_cell_length_b 4.1522
_cell_length_c 4.8039
_cell_angle_alpha 90.00
_cell_angle_beta 90.00
_cell_angle_gamma 120.00
_symmetry_space_group_name_H-M 'P 3 m 1'
_symmetry_Int_Tables_number 156
_symmetry_space_group_name_Hall 'P 3 -2"'
loop_
_atom_site_label
_atom_site_fract_x
_atom_site_fract_y
_atom_site_fract_z
Tl1 0.0000 0.0000 0.0000
Zn1 0.3333 0.6667 0.4981
As1 0.6667 0.3333 0.5020
# DOS(E_F): 0.292 states/eV/f.u.
# ΔH_f (0 K): -0.13 eV per formula unit
# Density: 8.0 Mg/m³

---

# 2
# KInPb2 | the Alexandria database | PBEsol | optimized geometry
data_KInPb2
_chemical_formula_sum 'K2 In2 Pb4'
_cell_length_a 3.710
_cell_length_b 5.862
_cell_length_c 11.413
_cell_angle_alpha 90.00
_cell_angle_beta 90.00
_cell_angle_gamma 90.00
_symmetry_space_group_name_H-M 'I m m m'
_symmetry_Int_Tables_number 71
_symmetry_space_group_name_Hall '-I 2 2'
loop_
_atom_site_label
_atom_site_fract_x
_atom_site_fract_y
_atom_site_fract_z
K1 0.000 0.000 0.000
In1 0.000 0.000 0.500
Pb1 0.000 0.500 0.226
# DOS(E_F): 2.549 states/eV/f.u.
# ΔH_f (0 K): 0.00 eV per formula unit
# Density: 7.6 Mg/m³